1.
Computed, not measured: a crystal of As2PbSBr relaxed with PBEsol at the SCAN level of DFT.

a b c (Å): 5.3573 5.4393 5.4393
angles (deg): 90.00 90.00 90.00
Closest atoms and distances in Å follow each position.
Atoms (fractional coordinates):
Pb: 0.0000 0.0000 0.0000  2 Br 2.68, 4 As 2.72
As: 0.0000 0.0000 0.5000  2 Pb 2.72
As: 0.0000 0.5000 0.0000  2 Pb 2.72
Br: 0.5000 0.0000 0.0000  2 Pb 2.68
S: 0.5000 0.5000 0.5000  8 As 3.82, 4 Br 3.85

Theoretical density ... 4914 kg/m3
Uncorrected formation energy ... 1.092 eV per atom
Symmetry ... No. 123
Total energy ... -27.958 eV per atom

2.
Computed, not measured: a crystal of CuPt relaxed with PBEsol at the SCAN level of DFT.

a b c (Å): 4.6033 4.6204 8.0283
angles (deg): 90.00 90.00 109.71
Closest atoms and distances in Å follow each position.
Atoms (fractional coordinates):
Cu: 0.5000 0.5000 0.6640  10 Pt 2.65-2.76, 2 Cu 2.67
Cu: 0.0000 0.0000 0.3274  7 Cu 2.58-2.68, 5 Pt 2.66
Cu: 0.0000 0.0000 0.0066  5 Cu 2.58-2.66, 7 Pt 2.65-2.79
Cu: 0.0000 0.5000 0.4960  5 Cu 2.61-2.68, 7 Pt 2.64-2.73
Cu: 0.0000 0.5000 0.1705  7 Cu 2.61-2.66, 5 Pt 2.65-2.68
Cu: 0.5000 0.0000 0.1684  6 Pt 2.61-2.68, 6 Cu 2.63-2.65
Pt: 0.5000 0.5000 0.0080  5 Pt 2.62-2.69, 7 Cu 2.64-2.76
Pt: 0.5000 0.0000 0.8352  7 Pt 2.65-2.74, 5 Cu 2.68-2.69
Pt: 0.5000 0.5000 0.3344  3 Pt 2.62-2.64, 9 Cu 2.64-2.67
Pt: 0.0000 0.5000 0.8366  6 Pt 2.65-2.71, 6 Cu 2.68-2.73
Pt: 0.0000 0.0000 0.6590  6 Cu 2.66-2.79, 6 Pt 2.66-2.71
Pt: 0.5000 0.0000 0.4940  7 Cu 2.61-2.68, 5 Pt 2.64-2.74

Theoretical density ... 16030 kg/m3
Symmetry ... No. 3
Total energy ... -42.802 eV per atom

3.
Computed, not measured: a crystal of NbTe2O relaxed with PBEsol at the SCAN level of DFT.

a b c (Å): 3.7035 3.7035 7.8955
angles (deg): 76.44 76.44 60.00
Closest atoms and distances in Å follow each position.
Atoms (fractional coordinates):
Nb: 0.5000 0.5000 0.5000  6 Te 2.77
Te: 0.9106 0.9106 0.2682  1 O 2.04
Te: 0.0894 0.0894 0.7318  1 O 2.04
O: 0.0000 0.0000 0.0000  2 Te 2.04

Theoretical density ... 6697 kg/m3
Uncorrected formation energy ... -0.282 eV per atom
Symmetry ... No. 166
Total energy ... -28.747 eV per atom

4.
Computed, not measured: a crystal of Tc2TeMo relaxed with PBEsol at the SCAN level of DFT.

a b c (Å): 2.9819 4.1017 5.2402
angles (deg): 90.00 90.00 90.00
Closest atoms and distances in Å follow each position.
Atoms (fractional coordinates):
Te: 0.0000 0.0000 0.4945  6 Tc 2.60-2.88
Tc: 0.5000 0.5000 0.2357  1 Mo 2.43
Tc: 0.0000 0.0000 0.9978  2 Te 2.60-2.64, 4 Mo 2.80, 4 Tc 2.83
Mo: 0.5000 0.5000 0.7721  1 Tc 2.43

Theoretical density ... 10870 kg/m3
Uncorrected formation energy ... 0.391 eV per atom
Symmetry ... No. 25
Total energy ... -35.174 eV per atom

5.
Computed, not measured: a crystal of KMo2RhF relaxed with PBEsol at the SCAN level of DFT.

a b c (Å): 4.0599 4.6802 4.6802
angles (deg): 90.00 90.00 90.00
Closest atoms and distances in Å follow each position.
Atoms (fractional coordinates):
Mo: 0.0000 0.5000 0.0000  2 K 2.34
Mo: 0.0000 0.0000 0.5000  2 K 2.34
F: 0.5000 0.0000 0.0000  2 K 2.03
K: 0.0000 0.0000 0.0000  2 F 2.03
Rh: 0.5000 0.5000 0.5000  8 Mo 3.10, 4 F 3.31

Theoretical density ... 6589 kg/m3
Uncorrected formation energy ... 2.139 eV per atom
Symmetry ... No. 123
Total energy ... -20.943 eV per atom

6.
Computed, not measured: a crystal of CuRhSeBr2 relaxed with PBEsol at the SCAN level of DFT.

a b c (Å): 4.7403 4.7890 4.7890
angles (deg): 90.00 90.00 90.00
Closest atoms and distances in Å follow each position.
Atoms (fractional coordinates):
Se: 0.5000 0.0000 0.0000  2 Cu 2.37
Br: 0.0000 0.5000 0.0000  2 Cu 2.39
Br: 0.0000 0.0000 0.5000  2 Cu 2.39
Cu: 0.0000 0.0000 0.0000  2 Se 2.37, 4 Br 2.39
Rh: 0.5000 0.5000 0.5000  8 Br 3.37, 4 Se 3.39

Theoretical density ... 6189 kg/m3
Uncorrected formation energy ... 0.680 eV per atom
Symmetry ... No. 123
Total energy ... -20.913 eV per atom

7.
Computed, not measured: a crystal of YW3 relaxed with PBEsol at the SCAN level of DFT.

a b c (Å): 2.6730 4.6354 5.7440
angles (deg): 90.00 90.00 90.00
Closest atoms and distances in Å follow each position.
Atoms (fractional coordinates):
W: 0.0000 0.0000 0.0094  8 W 2.67-2.98, 2 Y 2.88
W: 0.5000 0.5000 0.8054  8 W 2.67-2.92
W: 0.5000 0.0000 0.5453  6 W 2.67-2.98
Y: 0.0000 0.5000 0.3066  2 Y 2.67, 2 W 2.88

Theoretical density ... 14942 kg/m3
Energy above the most stable polymorph in this dataset ... 367 meV per atom
Symmetry ... No. 25
Total energy ... -58.421 eV per atom

8.
Computed, not measured: a crystal of Zn3Rh2 relaxed with PBEsol at the SCAN level of DFT.

a b c (Å): 2.7528 2.7528 10.4457
angles (deg): 82.43 82.43 60.00
Closest atoms and distances in Å follow each position.
Atoms (fractional coordinates):
Rh: 0.6009 0.6009 0.1973  6 Zn 2.58-2.59, 6 Rh 2.75
Rh: 0.3991 0.3991 0.8027  6 Zn 2.58-2.59, 6 Rh 2.75
Zn: 0.7983 0.7983 0.6051  3 Rh 2.59, 9 Zn 2.69-2.75
Zn: 0.0000 0.0000 0.0000  6 Rh 2.58, 6 Zn 2.75
Zn: 0.2017 0.2017 0.3949  3 Rh 2.59, 9 Zn 2.69-2.75

Theoretical density ... 9853 kg/m3
Symmetry ... No. 166
Total energy ... -21.839 eV per atom

9.
Computed, not measured: a crystal of NiIr2Os relaxed with PBEsol at the SCAN level of DFT.

a b c (Å): 2.6953 2.6953 7.2708
angles (deg): 90.00 90.00 90.00
Closest atoms and distances in Å follow each position.
Atoms (fractional coordinates):
Ni: 0.5000 0.5000 0.0000  8 Ir 2.59, 4 Ni 2.70
Ir: 0.0000 0.0000 0.7578  4 Ni 2.59, 4 Os 2.67, 4 Ir 2.70
Ir: 0.0000 0.0000 0.2422  4 Ni 2.59, 4 Os 2.67, 4 Ir 2.70
Os: 0.5000 0.5000 0.5000  8 Ir 2.67, 4 Os 2.70

Theoretical density ... 19912 kg/m3
Energy above the most stable polymorph in this dataset ... 27 meV per atom
Symmetry ... No. 123
Total energy ... -57.543 eV per atom

10.
Computed, not measured: a crystal of CaZrAu2 relaxed with PBEsol at the SCAN level of DFT.

a b c (Å): 3.4248 4.5970 5.6333
angles (deg): 90.00 107.70 90.00
Closest atoms and distances in Å follow each position.
Atoms (fractional coordinates):
Ca: 0.4815 0.0000 0.9630  7 Au 2.85-3.04
Zr: 0.7631 0.5000 0.5263  7 Au 2.91-2.97
Au: 0.0399 0.5000 0.0797  4 Ca 2.93, 3 Zr 2.95-2.97, 2 Au 2.97
Au: 0.2155 0.0000 0.4310  3 Ca 2.85-3.04, 4 Zr 2.91, 2 Au 2.97

Theoretical density ... 10322 kg/m3
Symmetry ... No. 38
Total energy ... -45.466 eV per atom

11.
Computed, not measured: a crystal of BeAlMo relaxed with PBEsol at the SCAN level of DFT.

a b c (Å): 2.7471 2.7471 6.2653
angles (deg): 90.00 90.00 120.00
Closest atoms and distances in Å follow each position.
Atoms (fractional coordinates):
Mo: 0.3333 0.6667 0.3471  3 Be 2.54, 6 Mo 2.75, 3 Al 2.75
Be: 0.6667 0.3333 0.6647  3 Mo 2.54, 3 Al 2.57, 6 Be 2.75
Al: 0.0000 0.0000 0.9882  3 Be 2.57, 6 Al 2.75, 3 Mo 2.75

Theoretical density ... 5350 kg/m3
Symmetry ... No. 156
Total energy ... -15.472 eV per atom

12.
Computed, not measured: a crystal of CdCo2Tc relaxed with PBEsol at the SCAN level of DFT.

a b c (Å): 3.6091 3.6091 4.7326
angles (deg): 112.41 112.41 90.00
Closest atoms and distances in Å follow each position.
Atoms (fractional coordinates):
Co: 0.7500 0.2500 0.5000  4 Cd 2.55, 4 Tc 2.69, 4 Co 2.69
Co: 0.0000 0.0000 0.0000  4 Tc 2.55, 4 Cd 2.69, 4 Co 2.69
Cd: 0.2500 0.7500 0.5000  8 Co 2.55-2.69, 4 Tc 2.69
Tc: 0.5000 0.5000 0.0000  8 Co 2.55-2.69, 4 Cd 2.69

Theoretical density ... 10500 kg/m3
Symmetry ... No. 119
Total energy ... -24.447 eV per atom